! Be3TePb | Alexandria via LeMat-Bulk | SCAN | PBEsol geometry; values from VASP
&SYSTEM
  ibrav = 0, nat = 5, ntyp = 3
/
ATOMIC_SPECIES
Pb 207.20 Pb.upf
Be 9.01 Be.upf
Te 127.60 Te.upf
CELL_PARAMETERS angstrom
-1.610 -4.405 0.163
2.759 -1.142 -3.621
3.439 -1.147 2.981
ATOMIC_POSITIONS angstrom
Pb 0.000 0.000 0.000
Be 1.379 -0.571 -1.811
Be 1.719 -0.573 1.490
Be -0.805 -2.203 0.081
Te 2.294 -3.347 -0.239
! Space-group type: No. 221
! Crystal system: cubic
! N(E_F) (states/eV/cell): 0.86
! Total energy (eV for the cell shown): -121.22
! E_form (uncorrected) (eV/atom): 0.974

=====

! CsLa2TaPd | Alexandria via LeMat-Bulk | SCAN | PBEsol geometry; values from VASP
&SYSTEM
  ibrav = 0, nat = 5, ntyp = 4
/
ATOMIC_SPECIES
Cs 132.91 Cs.upf
La 138.91 La.upf
Pd 106.42 Pd.upf
Ta 180.95 Ta.upf
CELL_PARAMETERS angstrom
-1.283 2.962 3.657
-0.156 -4.488 3.581
5.540 0.825 1.275
ATOMIC_POSITIONS angstrom
Cs 0.000 0.000 0.000
La 2.770 0.413 0.637
La -0.078 -2.244 1.790
Pd -0.641 1.481 1.828
Ta 2.051 -0.351 4.256
! Space-group type: No. 123
! Crystal system: tetragonal
! N(E_F) (states/eV/cell): 3.54
! Total energy (eV for the cell shown): -214.98
! Energy of formation (eV per atom): 1.679

=====

! KCuHIr2 | Alexandria via LeMat-Bulk | SCAN | PBEsol geometry; values from VASP
&SYSTEM
  ibrav = 0, nat = 5, ntyp = 4
/
ATOMIC_SPECIES
H 1.01 H.upf
K 39.10 K.upf
Ir 192.22 Ir.upf
Cu 63.55 Cu.upf
CELL_PARAMETERS angstrom
4.714 0.000 0.000
0.000 4.714 0.000
0.000 0.000 4.598
ATOMIC_POSITIONS angstrom
H 2.357 2.357 2.299
K 0.000 0.000 0.000
Ir 0.000 2.357 0.000
Ir 2.357 0.000 0.000
Cu 0.000 0.000 2.299
! Space-group type: No. 123
! Crystal system: tetragonal
! N(E_F) (states/eV/cell): 2.41
! Total energy (eV for the cell shown): -151.71

=====

! MnRu5 | Alexandria via LeMat-Bulk | SCAN | PBEsol geometry; values from VASP
&SYSTEM
  ibrav = 0, nat = 6, ntyp = 2
/
ATOMIC_SPECIES
Mn 54.94 Mn.upf
Ru 101.07 Ru.upf
CELL_PARAMETERS angstrom
-0.371 -2.503 -0.841
4.138 -0.112 2.732
-4.492 -0.753 4.226
ATOMIC_POSITIONS angstrom
Mn -0.725 -3.365 6.109
Ru 1.875 -1.271 2.953
Ru -0.357 -1.951 1.739
Ru -2.322 -0.614 2.854
Ru -0.368 -1.422 4.394
Ru -2.704 -2.562 4.594
! Space-group type: No. 8
! Crystal system: monoclinic
! N(E_F) (states/eV/cell): 5.13
! Total energy (eV for the cell shown): -192.42
! Energy of formation (eV per atom): -0.006

=====

! CdHg2Br | Alexandria via LeMat-Bulk | SCAN | PBEsol geometry; values from VASP
&SYSTEM
  ibrav = 0, nat = 4, ntyp = 3
/
ATOMIC_SPECIES
Hg 200.59 Hg.upf
Br 79.90 Br.upf
Cd 112.41 Cd.upf
CELL_PARAMETERS angstrom
3.553 0.140 0.000
-1.230 3.337 0.000
0.000 0.000 8.356
ATOMIC_POSITIONS angstrom
Hg 0.000 0.000 0.121
Hg 1.162 1.738 6.397
Br 0.000 0.000 3.931
Cd 1.162 1.738 2.085
! Space-group type: No. 35
! Excess energy over the best structure of this formula in the dataset (eV/f.u.): 0.156
! Crystal system: orthorhombic
! N(E_F) (states/eV/cell): 0.99
! Total energy (eV for the cell shown): -186.97
! E_form (uncorrected) (eV/atom): -0.190

=====

! NiAs2SeCl | Alexandria via LeMat-Bulk | SCAN | PBEsol geometry; values from VASP
&SYSTEM
  ibrav = 0, nat = 5, ntyp = 4
/
ATOMIC_SPECIES
Ni 58.69 Ni.upf
As 74.92 As.upf
Se 78.96 Se.upf
Cl 35.45 Cl.upf
CELL_PARAMETERS angstrom
4.548 0.000 0.000
0.000 4.646 0.000
0.000 0.000 4.646
ATOMIC_POSITIONS angstrom
Ni 0.000 0.000 0.000
As 0.000 0.000 2.323
As 0.000 2.323 0.000
Se 2.274 0.000 0.000
Cl 2.274 2.323 2.323
! Space-group type: No. 123
! Crystal system: tetragonal
! N(E_F) (states/eV/cell): 5.79
! Total energy (eV for the cell shown): -82.36
! E_form (uncorrected) (eV/atom): 0.450

=====

! CsCdCoHg2 | Alexandria via LeMat-Bulk | SCAN | PBEsol geometry; values from VASP
&SYSTEM
  ibrav = 0, nat = 5, ntyp = 4
/
ATOMIC_SPECIES
Cs 132.91 Cs.upf
Co 58.93 Co.upf
Hg 200.59 Hg.upf
Cd 112.41 Cd.upf
CELL_PARAMETERS angstrom
-3.211 -3.824 0.874
1.425 -0.085 4.864
-3.945 3.591 1.218
ATOMIC_POSITIONS angstrom
Cs -1.973 1.795 0.609
Co 0.000 0.000 0.000
Hg 0.712 -0.042 2.432
Hg -1.605 -1.912 0.437
Cd -2.866 -0.159 3.478
! Space-group type: No. 123
! Crystal system: tetragonal
! N(E_F) (states/eV/cell): 2.50
! Total energy (eV for the cell shown): -219.48
! Energy of formation (eV per atom): 0.477

=====

! LiAgSe2 | Alexandria via LeMat-Bulk | SCAN | PBEsol geometry; values from VASP
&SYSTEM
  ibrav = 0, nat = 4, ntyp = 3
/
ATOMIC_SPECIES
Ag 107.87 Ag.upf
Se 78.96 Se.upf
Li 6.94 Li.upf
CELL_PARAMETERS angstrom
-3.472 1.526 0.114
-1.874 0.153 4.032
0.485 5.681 1.866
ATOMIC_POSITIONS angstrom
Ag -2.430 3.680 3.006
Se -3.517 5.892 3.473
Se -1.344 1.469 2.539
Li -1.736 0.763 0.057
! Space-group type: No. 12
! Excess energy over the best structure of this formula in the dataset (eV/f.u.): 0.000
! Crystal system: monoclinic
! N(E_F) (states/eV/cell): 0.72
! Total energy (eV for the cell shown): -75.87
! E_form (uncorrected) (eV/atom): -0.489

=====

! Cs2P2H2O7 | Alexandria via LeMat-Bulk | SCAN | PBEsol geometry; values from VASP
&SYSTEM
  ibrav = 0, nat = 26, ntyp = 4
/
ATOMIC_SPECIES
Cs 132.91 Cs.upf
P 30.97 P.upf
H 1.01 H.upf
O 16.00 O.upf
CELL_PARAMETERS angstrom
5.991 0.037 -0.003
-0.687 5.952 -0.003
-0.051 -0.057 11.397
ATOMIC_POSITIONS angstrom
Cs 1.057 4.274 11.166
Cs 1.113 4.337 5.922
Cs 4.196 1.657 0.224
Cs 4.140 1.594 5.468
P 0.875 1.134 8.397
P 4.207 4.897 8.691
P 4.378 4.797 2.993
P 1.046 1.034 2.699
H 0.210 3.069 2.928
H 2.257 5.381 2.764
H 5.043 2.862 8.462
H 2.996 0.551 8.627
O 0.840 2.383 3.474
O 3.015 4.838 2.218
O 4.413 3.549 7.916
O 2.238 1.093 9.173
O 4.230 4.511 4.461
O 1.312 1.216 1.230
O 1.023 1.420 6.929
O 3.941 4.716 10.160
O 2.035 0.188 3.491
O 5.338 3.917 2.201
O 3.218 5.743 7.900
O -0.085 2.014 9.189
O 5.552 0.401 2.846
O -0.299 5.531 8.544
! Space-group type: No. 15
! Crystal system: monoclinic
! N(E_F) (states/eV/cell): 0.00
! Total energy (eV for the cell shown): -351.13

=====

! HgTe2P | Alexandria via LeMat-Bulk | SCAN | PBEsol geometry; values from VASP
&SYSTEM
  ibrav = 0, nat = 4, ntyp = 3
/
ATOMIC_SPECIES
Hg 200.59 Hg.upf
P 30.97 P.upf
Te 127.60 Te.upf
CELL_PARAMETERS angstrom
3.029 0.032 0.032
-0.061 5.799 0.001
-0.061 -0.003 5.799
ATOMIC_POSITIONS angstrom
Hg -0.061 2.898 2.900
P 0.000 0.000 0.000
Te -0.031 2.899 0.000
Te -0.031 -0.002 2.899
! Space-group type: No. 123
! Excess energy over the best structure of this formula in the dataset (eV/f.u.): 0.188
! Crystal system: tetragonal
! N(E_F) (states/eV/cell): 1.77
! Total energy (eV for the cell shown): -152.12
! E_form (uncorrected) (eV/atom): 0.237

=====

! TaCdFe2 | Alexandria via LeMat-Bulk | SCAN | PBEsol geometry; values from VASP
&SYSTEM
  ibrav = 0, nat = 4, ntyp = 3
/
ATOMIC_SPECIES
Cd 112.41 Cd.upf
Fe 55.84 Fe.upf
Ta 180.95 Ta.upf
CELL_PARAMETERS angstrom
3.051 0.000 0.000
0.000 3.051 0.000
0.000 0.000 6.071
ATOMIC_POSITIONS angstrom
Cd 1.525 1.525 3.035
Fe 0.000 0.000 4.723
Fe 0.000 0.000 1.347
Ta 1.525 1.525 0.000
! Space-group type: No. 123
! Crystal system: tetragonal
! N(E_F) (states/eV/cell): 3.58
! Total energy (eV for the cell shown): -132.55
! Energy of formation (eV per atom): 0.176

=====

! SrMnSe2Br | Alexandria via LeMat-Bulk | SCAN | PBEsol geometry; values from VASP
&SYSTEM
  ibrav = 0, nat = 5, ntyp = 4
/
ATOMIC_SPECIES
Sr 87.62 Sr.upf
Mn 54.94 Mn.upf
Se 78.96 Se.upf
Br 79.90 Br.upf
CELL_PARAMETERS angstrom
-3.448 -3.338 -1.073
0.922 -2.315 4.239
-3.488 2.858 2.319
ATOMIC_POSITIONS angstrom
Sr -3.007 -1.398 2.743
Mn 0.000 0.000 0.000
Se 0.461 -1.157 2.120
Se -1.724 -1.669 -0.536
Br -1.744 1.429 1.160
! Space-group type: No. 123
! Crystal system: tetragonal
! N(E_F) (states/eV/cell): 1.05
! Total energy (eV for the cell shown): -106.66
! E_form (uncorrected) (eV/atom): -1.303

=====

! BaZnIn2Mo | Alexandria via LeMat-Bulk | SCAN | PBEsol geometry; values from VASP
&SYSTEM
  ibrav = 0, nat = 5, ntyp = 4
/
ATOMIC_SPECIES
Zn 65.41 Zn.upf
Mo 95.94 Mo.upf
Ba 137.33 Ba.upf
In 114.82 In.upf
CELL_PARAMETERS angstrom
5.278 0.000 0.000
0.000 5.278 0.000
0.000 0.000 5.550
ATOMIC_POSITIONS angstrom
Zn 2.639 2.639 2.775
Mo 0.000 0.000 0.000
Ba 0.000 0.000 2.775
In 0.000 2.639 0.000
In 2.639 0.000 0.000
! Space-group type: No. 123
! Crystal system: tetragonal
! N(E_F) (states/eV/cell): 2.26
! Total energy (eV for the cell shown): -151.95
! Energy of formation (eV per atom): 0.555

=====

! Nd2W3O12 | Alexandria via LeMat-Bulk | SCAN | PBEsol geometry; values from VASP
&SYSTEM
  ibrav = 0, nat = 34, ntyp = 3
/
ATOMIC_SPECIES
Nd 144.24 Nd.upf
W 183.84 W.upf
O 16.00 O.upf
CELL_PARAMETERS angstrom
-0.446 -4.713 5.113
6.315 0.047 -2.945
0.404 9.768 6.109
ATOMIC_POSITIONS angstrom
Nd 3.306 2.111 6.064
Nd 1.499 6.700 7.259
Nd 2.967 2.992 2.213
Nd 4.774 -1.597 1.018
W 5.923 0.922 3.768
W 1.575 0.301 -0.246
W 4.698 4.802 8.523
W 0.350 4.181 4.509
W 2.130 -0.528 3.690
W 4.143 5.631 4.587
O 5.478 1.051 5.834
O 0.493 8.580 6.098
O 0.795 4.051 2.443
O 5.781 -3.478 2.179
O 0.925 2.043 6.680
O 1.711 5.241 9.228
O 5.348 3.060 1.597
O 4.563 -0.138 -0.951
O 0.359 4.943 6.139
O 3.731 3.364 8.036
O 2.421 -0.117 5.440
O 0.807 -1.666 3.171
O 3.852 5.219 2.837
O 5.466 6.769 5.106
O 4.270 1.756 3.795
O 2.475 -1.063 0.624
O 2.003 3.347 4.482
O 3.798 6.166 7.653
O 1.792 0.965 2.801
O 3.685 -1.165 3.130
O 4.481 4.137 5.477
O 2.588 6.268 5.147
O 2.542 1.738 0.241
O 5.914 0.159 2.138
! Space-group type: No. 15
! Crystal system: monoclinic
! N(E_F) (states/eV/cell): 0.00
! Total energy (eV for the cell shown): -837.60
! E_form (uncorrected) (eV/atom): -2.812

=====

! ZrZnW2Se | Alexandria via LeMat-Bulk | SCAN | PBEsol geometry; values from VASP
&SYSTEM
  ibrav = 0, nat = 5, ntyp = 4
/
ATOMIC_SPECIES
Zn 65.41 Zn.upf
Se 78.96 Se.upf
Zr 91.22 Zr.upf
W 183.84 W.upf
CELL_PARAMETERS angstrom
-0.152 -3.719 3.114
4.788 0.382 0.691
-0.787 3.141 3.713
ATOMIC_POSITIONS angstrom
Zn 1.924 -0.098 3.759
Se -0.393 1.571 1.857
Zr 0.000 0.000 0.000
W 2.394 0.191 0.346
W -0.076 -1.860 1.557
! Space-group type: No. 123
! Crystal system: tetragonal
! N(E_F) (states/eV/cell): 5.63
! Total energy (eV for the cell shown): -192.54
! E_form (uncorrected) (eV/atom): 2.226

=====

! Ca2CuB2H12O12 | Alexandria via LeMat-Bulk | SCAN | PBEsol geometry; values from VASP
&SYSTEM
  ibrav = 0, nat = 29, ntyp = 5
/
ATOMIC_SPECIES
Ca 40.08 Ca.upf
Cu 63.55 Cu.upf
B 10.81 B.upf
H 1.01 H.upf
O 16.00 O.upf
CELL_PARAMETERS angstrom
-4.964 -2.581 -0.248
1.089 -2.691 4.788
-5.313 3.974 4.422
ATOMIC_POSITIONS angstrom
Ca -4.611 1.103 5.685
Ca -4.579 -2.401 3.277
Cu 0.000 0.000 0.000
B -6.099 -1.541 5.881
B -3.090 0.242 3.081
H -5.799 1.021 2.639
H -5.689 -3.638 5.986
H -2.300 -3.569 4.854
H -7.509 -0.835 7.231
H -0.993 -2.539 3.520
H -2.239 -0.676 4.708
H -6.950 -0.622 4.254
H -8.196 1.240 5.442
H -1.680 -0.464 1.731
H -6.890 2.271 4.108
H -3.500 2.339 2.976
H -3.390 -2.319 6.323
O -5.065 -1.019 6.791
O -7.419 -1.594 6.565
O -5.795 -2.873 5.329
O -2.742 -3.767 4.000
O -0.097 -2.165 3.372
O -3.113 -0.701 4.213
O -6.076 -0.597 4.749
O -9.093 0.867 5.590
O -6.447 2.469 4.962
O -3.395 1.575 3.633
O -1.771 0.296 2.397
O -4.124 -0.279 2.171
! Space-group type: No. 2
! Crystal system: triclinic
! N(E_F) (states/eV/cell): 0.00
! Total energy (eV for the cell shown): -214.17

=====

! Al2AsSe | Alexandria via LeMat-Bulk | SCAN | PBEsol geometry; values from VASP
&SYSTEM
  ibrav = 0, nat = 4, ntyp = 3
/
ATOMIC_SPECIES
As 74.92 As.upf
Al 26.98 Al.upf
Se 78.96 Se.upf
CELL_PARAMETERS angstrom
-2.525 -2.277 0.808
1.325 -0.327 3.221
-2.977 5.958 -0.070
ATOMIC_POSITIONS angstrom
As -3.288 4.279 1.786
Al -0.227 0.296 0.124
Al -3.415 1.664 1.574
Se -0.824 1.772 2.418
! Space-group type: No. 44
! Crystal system: orthorhombic
! N(E_F) (states/eV/cell): 1.14
! Total energy (eV for the cell shown): -56.46
! E_form (uncorrected) (eV/atom): -0.172

=====

! Ta3BeRu | Alexandria via LeMat-Bulk | SCAN | PBEsol geometry; values from VASP
&SYSTEM
  ibrav = 0, nat = 5, ntyp = 3
/
ATOMIC_SPECIES
Ru 101.07 Ru.upf
Be 9.01 Be.upf
Ta 180.95 Ta.upf
CELL_PARAMETERS angstrom
-2.323 4.065 -0.453
-3.668 -2.301 -1.838
-1.810 -0.554 4.306
ATOMIC_POSITIONS angstrom
Ru 0.000 0.000 0.000
Be -3.900 0.605 1.008
Ta -1.834 -1.150 -0.919
Ta -0.905 -0.277 2.153
Ta -1.161 2.033 -0.227
! Space-group type: No. 221
! Crystal system: cubic
! N(E_F) (states/eV/cell): 3.75
! Total energy (eV for the cell shown): -232.02
! Energy of formation (eV per atom): 1.382

=====

! Li2LaGeRh | Alexandria via LeMat-Bulk | SCAN | PBEsol geometry; values from VASP
&SYSTEM
  ibrav = 0, nat = 5, ntyp = 4
/
ATOMIC_SPECIES
Ge 72.64 Ge.upf
Li 6.94 Li.upf
Rh 102.91 Rh.upf
La 138.91 La.upf
CELL_PARAMETERS angstrom
4.539 0.000 0.000
0.000 4.539 0.000
0.000 0.000 4.742
ATOMIC_POSITIONS angstrom
Ge 0.000 0.000 0.000
Li 0.000 2.269 0.000
Li 2.269 0.000 0.000
Rh 0.000 0.000 2.371
La 2.269 2.269 2.371
! Space-group type: No. 123
! Crystal system: tetragonal
! N(E_F) (states/eV/cell): 2.16
! Total energy (eV for the cell shown): -102.47
! Energy of formation (eV per atom): -0.346

=====

! NaIrRu2Pt | Alexandria via LeMat-Bulk | SCAN | PBEsol geometry; values from VASP
&SYSTEM
  ibrav = 0, nat = 5, ntyp = 4
/
ATOMIC_SPECIES
Ru 101.07 Ru.upf
Ir 192.22 Ir.upf
Pt 195.08 Pt.upf
Na 22.99 Na.upf
CELL_PARAMETERS angstrom
-3.636 0.159 3.112
-0.148 -4.769 0.071
3.102 -0.042 3.626
ATOMIC_POSITIONS angstrom
Ru 1.551 -0.021 1.813
Ru -0.074 -2.385 0.035
Ir -1.818 0.079 1.556
Pt 0.000 0.000 0.000
Na -0.341 -2.326 3.405
! Space-group type: No. 123
! Crystal system: tetragonal
! N(E_F) (states/eV/cell): 5.68
! Total energy (eV for the cell shown): -207.08
! Energy of formation (eV per atom): 1.616

=====

! MnTe2Au | Alexandria via LeMat-Bulk | SCAN | PBEsol geometry; values from VASP
&SYSTEM
  ibrav = 0, nat = 4, ntyp = 3
/
ATOMIC_SPECIES
Au 196.97 Au.upf
Mn 54.94 Mn.upf
Te 127.60 Te.upf
CELL_PARAMETERS angstrom
3.502 0.181 0.000
-1.251 3.276 0.000
0.000 0.000 7.630
ATOMIC_POSITIONS angstrom
Au 1.126 1.728 3.815
Mn 1.126 1.728 0.000
Te 0.000 0.000 1.793
Te 0.000 0.000 5.837
! Space-group type: No. 65
! Excess energy over the best structure of this formula in the dataset (eV/f.u.): 1.376
! Crystal system: orthorhombic
! N(E_F) (states/eV/cell): 2.11
! Total energy (eV for the cell shown): -161.54
! E_form (uncorrected) (eV/atom): 0.094